# 1
# KY2, relaxed, DFT GGA-PBE
data_KY2
_chemical_formula_sum 'K4 Y8'
_cell_length_a 13.084
_cell_length_b 3.750
_cell_length_c 10.448
_cell_angle_alpha 90.00
_cell_angle_beta 108.83
_cell_angle_gamma 90.00
_symmetry_space_group_name_H-M 'C 1 2/m 1'
_symmetry_Int_Tables_number 12
loop_
_symmetry_equiv_pos_as_xyz
'x,y,z'
'-x,-y,-z'
'-x,y,-z'
'x,-y,z'
'x+1/2,y+1/2,z'
'-x+1/2,-y+1/2,-z'
'-x+1/2,y+1/2,-z'
'x+1/2,-y+1/2,z'
loop_
_atom_site_label
_atom_site_type_symbol
_atom_site_fract_x
_atom_site_fract_y
_atom_site_fract_z
K1 K 0.147 0.000 0.058
Y1 Y 0.013 0.500 0.342
Y2 Y 0.196 0.000 0.600
# **Formation energy**: 279 meV/atom
# **Volume**: 485.1 Å³ per cell

***

# 2
# KY2, relaxed, DFT GGA-PBE
data_KY2
_chemical_formula_sum 'K1 Y2'
_cell_length_a 3.6686
_cell_length_b 3.6686
_cell_length_c 10.1197
_cell_angle_alpha 90.00
_cell_angle_beta 90.00
_cell_angle_gamma 120.00
_symmetry_space_group_name_H-M 'P -3 m 1'
_symmetry_Int_Tables_number 164
_symmetry_space_group_name_Hall '-P 3 2"'
loop_
_atom_site_label
_atom_site_type_symbol
_atom_site_fract_x
_atom_site_fract_y
_atom_site_fract_z
K1 K 0.0000 0.0000 0.0000
Y1 Y 0.3333 0.6667 0.3656
# **Formation energy**: 275 meV/atom
# **Volume**: 118.0 Å³ per cell

***

# 3
# KY3, relaxed, DFT GGA-PBE
data_KY3
_chemical_formula_sum 'K4 Y12'
_cell_length_a 7.5101
_cell_length_b 7.5101
_cell_length_c 12.1047
_cell_angle_alpha 90.00
_cell_angle_beta 90.00
_cell_angle_gamma 120.00
_symmetry_space_group_name_H-M 'P 63/m m c'
_symmetry_Int_Tables_number 194
_symmetry_space_group_name_Hall '-P 6c 2c'
loop_
_atom_site_label
_atom_site_type_symbol
_atom_site_fract_x
_atom_site_fract_y
_atom_site_fract_z
K1 K 0.0000 0.0000 0.0000
K2 K 0.3333 0.6667 0.2500
Y1 Y 0.0000 0.5000 0.0000
Y2 Y 0.1750 0.3499 0.7500
# **Formation energy**: 521 meV/atom
# **Volume**: 591.3 Å³ per cell

***

# 4
# KY3, relaxed, DFT GGA-PBE
data_KY3
_chemical_formula_sum 'K4 Y12'
_cell_length_a 6.397
_cell_length_b 12.326
_cell_length_c 7.397
_cell_angle_alpha 90.00
_cell_angle_beta 90.00
_cell_angle_gamma 90.00
_symmetry_space_group_name_H-M 'P n m a'
_symmetry_Int_Tables_number 62
loop_
_symmetry_equiv_pos_as_xyz
'x,y,z'
'-x,-y,-z'
'-x+1/2,-y,z+1/2'
'x+1/2,y,-z+1/2'
'x+1/2,-y+1/2,-z+1/2'
'-x+1/2,y+1/2,z+1/2'
'-x,y+1/2,-z'
'x,-y+1/2,z'
loop_
_atom_site_label
_atom_site_type_symbol
_atom_site_fract_x
_atom_site_fract_y
_atom_site_fract_z
K1 K 0.049 0.250 0.155
Y1 Y 0.080 0.250 0.651
Y2 Y 0.239 0.518 0.386
# **Formation energy**: 412 meV/atom
# **Volume**: 583.2 Å³ per cell

***

# 5
# KY3, relaxed, DFT GGA-PBE
data_KY3
_chemical_formula_sum 'K2 Y6'
_cell_length_a 4.061
_cell_length_b 5.831
_cell_length_c 12.734
_cell_angle_alpha 90.00
_cell_angle_beta 90.00
_cell_angle_gamma 90.00
_symmetry_space_group_name_H-M 'C m m m'
_symmetry_Int_Tables_number 65
_symmetry_space_group_name_Hall '-C 2 2'
loop_
_atom_site_label
_atom_site_type_symbol
_atom_site_fract_x
_atom_site_fract_y
_atom_site_fract_z
K1 K 0.000 0.000 0.000
Y1 Y 0.000 0.000 0.500
Y2 Y 0.000 0.500 0.286
# **Formation energy**: 266 meV/atom
# **Volume**: 301.5 Å³ per cell

***

# 6
# KY2, relaxed, DFT GGA-PBE
data_KY2
_chemical_formula_sum 'K1 Y2'
_cell_length_a 4.544
_cell_length_b 4.544
_cell_length_c 7.146
_cell_angle_alpha 90.00
_cell_angle_beta 90.00
_cell_angle_gamma 90.00
_symmetry_space_group_name_H-M 'P 4/m m m'
_symmetry_Int_Tables_number 123
_symmetry_space_group_name_Hall '-P 4 2'
loop_
_atom_site_label
_atom_site_type_symbol
_atom_site_fract_x
_atom_site_fract_y
_atom_site_fract_z
K1 K 0.000 0.000 0.000
Y1 Y 0.000 0.500 0.500
# **Formation energy**: 748 meV/atom
# **Volume**: 147.6 Å³ per cell

***

# 7
# KY3, relaxed, DFT GGA-PBE
data_KY3
_chemical_formula_sum 'K4 Y12'
_cell_length_a 8.330
_cell_length_b 8.330
_cell_length_c 8.330
_cell_angle_alpha 90.00
_cell_angle_beta 90.00
_cell_angle_gamma 90.00
_symmetry_space_group_name_H-M 'F m -3 m'
_symmetry_Int_Tables_number 225
_symmetry_space_group_name_Hall '-F 4 2 3'
loop_
_atom_site_label
_atom_site_type_symbol
_atom_site_fract_x
_atom_site_fract_y
_atom_site_fract_z
K1 K 0.000 0.000 0.000
Y1 Y 0.000 0.000 0.500
Y2 Y 0.250 0.250 0.250
# **Formation energy**: 541 meV/atom
# **Volume**: 578.0 Å³ per cell

***

# 8
# KY2, relaxed, DFT GGA-PBE
data_KY2
_chemical_formula_sum 'K2 Y4'
_cell_length_a 3.526
_cell_length_b 5.454
_cell_length_c 12.212
_cell_angle_alpha 90.00
_cell_angle_beta 90.00
_cell_angle_gamma 90.00
_symmetry_space_group_name_H-M 'I m m m'
_symmetry_Int_Tables_number 71
_symmetry_space_group_name_Hall '-I 2 2'
loop_
_atom_site_label
_atom_site_type_symbol
_atom_site_fract_x
_atom_site_fract_y
_atom_site_fract_z
K1 K 0.000 0.000 0.000
Y1 Y 0.000 0.000 0.317
# **Formation energy**: 528 meV/atom
# **Volume**: 234.8 Å³ per cell

***

# 9
# KY3, relaxed, DFT GGA-PBE
data_KY3
_chemical_formula_sum 'K2 Y6'
_cell_length_a 5.254
_cell_length_b 5.254
_cell_length_c 10.670
_cell_angle_alpha 90.00
_cell_angle_beta 90.00
_cell_angle_gamma 90.00
_symmetry_space_group_name_H-M 'I 4/m m m'
_symmetry_Int_Tables_number 139
_symmetry_space_group_name_Hall '-I 4 2'
loop_
_atom_site_label
_atom_site_type_symbol
_atom_site_fract_x
_atom_site_fract_y
_atom_site_fract_z
K1 K 0.000 0.000 0.000
Y1 Y 0.000 0.000 0.500
Y2 Y 0.000 0.500 0.250
# **Formation energy**: 516 meV/atom
# **Volume**: 294.6 Å³ per cell

***

# 10
# KY3, relaxed, DFT GGA-PBE
data_KY3
_chemical_formula_sum 'K1 Y3'
_cell_length_a 3.6523
_cell_length_b 3.6523
_cell_length_c 12.9377
_cell_angle_alpha 90.00
_cell_angle_beta 90.00
_cell_angle_gamma 120.00
_symmetry_space_group_name_H-M 'P -6 m 2'
_symmetry_Int_Tables_number 187
_symmetry_space_group_name_Hall 'P -6 2'
loop_
_atom_site_label
_atom_site_type_symbol
_atom_site_fract_x
_atom_site_fract_y
_atom_site_fract_z
K1 K 0.0000 0.0000 0.0000
Y1 Y 0.0000 0.0000 0.5000
Y2 Y 0.6667 0.3333 0.2846
# **Formation energy**: 204 meV/atom
# **Volume**: 149.5 Å³ per cell

***

# 11
# KY3, relaxed, DFT GGA-PBE
data_KY3
_chemical_formula_sum 'K1 Y3'
_cell_length_a 6.185
_cell_length_b 6.185
_cell_length_c 3.761
_cell_angle_alpha 90.00
_cell_angle_beta 90.00
_cell_angle_gamma 90.00
_symmetry_space_group_name_H-M 'P 4/m m m'
_symmetry_Int_Tables_number 123
_symmetry_space_group_name_Hall '-P 4 2'
loop_
_atom_site_label
_atom_site_type_symbol
_atom_site_fract_x
_atom_site_fract_y
_atom_site_fract_z
K1 K 0.000 0.000 0.000
Y1 Y 0.000 0.500 0.500
Y2 Y 0.500 0.500 0.000
# **Formation energy**: 481 meV/atom
# **Volume**: 143.9 Å³ per cell

***

# 12
# KY3, relaxed, DFT GGA-PBE
data_KY3
_chemical_formula_sum 'K2 Y6'
_cell_length_a 6.014
_cell_length_b 7.481
_cell_length_c 6.571
_cell_angle_alpha 90.00
_cell_angle_beta 90.00
_cell_angle_gamma 90.00
_symmetry_space_group_name_H-M 'P m m n'
_symmetry_Int_Tables_number 59
loop_
_symmetry_equiv_pos_as_xyz
'x,y,z'
'-x,-y,-z'
'-x+1/2,-y+1/2,z'
'x+1/2,y+1/2,-z'
'x+1/2,-y,-z'
'-x+1/2,y,z'
'-x,y+1/2,-z'
'x,-y+1/2,z'
loop_
_atom_site_label
_atom_site_type_symbol
_atom_site_fract_x
_atom_site_fract_y
_atom_site_fract_z
K1 K 0.250 0.250 0.159
Y1 Y 0.250 0.503 0.652
Y2 Y 0.250 0.750 0.184
# **Formation energy**: 489 meV/atom
# **Volume**: 295.6 Å³ per cell

***

# 13
# KY2, relaxed, DFT GGA-PBE
data_KY2
_chemical_formula_sum 'K4 Y8'
_cell_length_a 3.683
_cell_length_b 25.234
_cell_length_c 5.686
_cell_angle_alpha 90.00
_cell_angle_beta 90.00
_cell_angle_gamma 90.00
_symmetry_space_group_name_H-M 'C m c m'
_symmetry_Int_Tables_number 63
_symmetry_space_group_name_Hall '-C 2c 2'
loop_
_atom_site_label
_atom_site_type_symbol
_atom_site_fract_x
_atom_site_fract_y
_atom_site_fract_z
K1 K 0.000 0.192 0.250
Y1 Y 0.000 0.079 0.750
Y2 Y 0.000 0.462 0.750
# **Formation energy**: 242 meV/atom
# **Volume**: 528.5 Å³ per cell

***

Number 1: final energy -4.40 eV per atom. Number 2: final energy -4.40 eV per atom. Number 3: final energy -4.60 eV per atom. Number 4: final energy -4.71 eV per atom. Number 5: final energy -4.86 eV per atom. Number 6: final energy -3.93 eV per atom. Number 7: final energy -4.58 eV per atom. Number 8: final energy -4.15 eV per atom. Number 9: final energy -4.61 eV per atom. Number 10: final energy -4.92 eV per atom. Number 11: final energy -4.64 eV per atom. Number 12: final energy -4.63 eV per atom. Number 13: final energy -4.43 eV per atom.